The following is a DFT calculation (PBE) of crystalline TePHF at its relaxed geometry.

Cell: 3.790 4.552 5.885 Å, 68.53 72.11 66.17°
Element x y z (fractional)
Te  0.000  0.000  0.000
P  0.395  0.409  0.816
H  0.493  0.491  0.548
F  0.595  0.651  0.193

The calculation puts the spin magnetization at 0.00 μB per formula unit. As for the symmetry: P1 (1). The total energy comes out at -0.285 Ry per atom.